BaTlPbAuF after structural relaxation, computed with GGA-PBE.

Computed properties:
Its total energy is -3.74 eV per atom. The total magnetization is 0.0 μB/f.u. The volume is 304 Å³/cell. Its polymorph energy (0 for the lowest one) is 13.5 kJ per mole of atoms. The density of states at the Fermi level comes out at 2.5 states/eV per cell.

Structure (extended XYZ):
```
10
Lattice="-1.447 -0.068 -5.344 -2.594 -3.658 0.749 -8.698 7.204 5.064" Properties=species:S:1:pos:R:3 pbc="T T T"
Tl -4.299 3.217 0.825
Tl -9.945 4.990 3.731
F -4.307 2.587 -2.280
F -9.952 4.359 0.626
Ba -7.809 5.615 0.380
Ba -4.758 0.184 -1.778
Au -1.410 0.420 -2.833
Au -7.056 2.193 0.074
Pb -7.032 2.775 3.000
Pb -1.386 1.002 0.093
```